The following is a PBE calculation of crystalline Er3Lu at its relaxed geometry, from OQMD.

Calculated values
As for the formation energy: -0.0003 eV per atom. The total energy is -4.5538 eV per atom.

```
Er3Lu
1.0
3.5534 0.0000 0.0000
0.0000 5.5104 0.0000
0.0000 0.0000 6.1552
Er Lu
3 1
Direct
0.0000 0.0000 0.0000
0.0000 0.5000 0.3342
0.5000 0.0000 0.5005
0.5000 0.5000 0.8328
```

The following is a PBE calculation of crystalline Er2Lu at its relaxed geometry, from OQMD.

Calculated values
Its energy above the most stable polymorph in this dataset is 0.460 eV/atom. As for the formation energy: 0.7175 eV per atom. The total energy is -3.8326 eV per atom.

```
Er2Lu
1.0
7.5130 0.0000 0.0000
0.0000 7.5130 0.0000
0.0000 0.0000 7.5130
Er Lu
8 4
Direct
0.2500 0.2500 0.2500
0.2500 0.2500 0.7500
0.2500 0.7500 0.2500
0.2500 0.7500 0.7500
0.7500 0.2500 0.2500
0.7500 0.2500 0.7500
0.7500 0.7500 0.2500
0.7500 0.7500 0.7500
0.0000 0.0000 0.0000
0.0000 0.5000 0.5000
0.5000 0.0000 0.5000
0.5000 0.5000 0.0000
```

The following is a PBE calculation of crystalline Er2Lu at its relaxed geometry, from OQMD.

Calculated values
Its energy above the most stable polymorph in this dataset is 2.319 eV/atom. As for the formation energy: 2.5764 eV per atom. The total energy is -1.9737 eV per atom.

```
Er2Lu
1.0
0.0000 7.1130 7.1130
7.1130 0.0000 7.1130
7.1130 7.1130 0.0000
Er Lu
4 2
Direct
0.0000 0.0000 0.0000
0.0000 0.0000 0.5000
0.0000 0.5000 0.0000
0.5000 0.0000 0.0000
0.1250 0.1250 0.1250
0.8750 0.8750 0.8750
```

The following is a PBE calculation of crystalline Er3Lu at its relaxed geometry, from OQMD.

Calculated values
As for the formation energy: -0.0004 eV per atom. The total energy is -4.5538 eV per atom.

```
Er3Lu
1.0
7.1067 0.0000 0.0000
0.0000 12.3109 0.0000
0.0000 0.0000 5.5104
Er Lu
12 4
Direct
0.0000 0.0830 0.2500
0.0000 0.9170 0.7500
0.2500 0.1664 0.7500
0.2500 0.3336 0.2500
0.2500 0.6664 0.7500
0.2500 0.8336 0.2500
0.5000 0.4170 0.7500
0.5000 0.5830 0.2500
0.7500 0.1664 0.7500
0.7500 0.3336 0.2500
0.7500 0.6664 0.7500
0.7500 0.8336 0.2500
0.0000 0.4168 0.7500
0.0000 0.5832 0.2500
0.5000 0.0832 0.2500
0.5000 0.9168 0.7500
```

Q: What is the formula in the third record?
A: Er2Lu